Record 1
VASP calculation (GGA-PBE) on BaReAu4 after structural relaxation.

Computed properties:
The value obtained for the calculated density is 14.0 g/cm³. The total energy comes out at -24.829 eV/f.u.

The structure in CIF format:
```
data_BaReAu4
_cell_length_a 8.081
_cell_length_b 8.081
_cell_length_c 8.081
_cell_angle_alpha 90.00
_cell_angle_beta 90.00
_cell_angle_gamma 90.00
_space_group_name_H-M_alt 'F -4 3 m'
_space_group_IT_number 216
_space_group_name_Hall 'F -4 2 3'
loop_
_atom_site_label
_atom_site_fract_x
_atom_site_fract_y
_atom_site_fract_z
Ba1 0.000 0.000 0.000
Re1 0.250 0.250 0.750
Au1 0.124 0.124 0.376
```



Record 2
VASP calculation (GGA-PBE) on Ba2ReAu after structural relaxation.

Computed properties:
The value obtained for the calculated density is 8.4 g/cm³. The total energy comes out at -17.286 eV/f.u.

The structure in CIF format:
```
data_Ba2ReAu
_cell_length_a 3.721
_cell_length_b 3.721
_cell_length_c 9.357
_cell_angle_alpha 90.00
_cell_angle_beta 90.00
_cell_angle_gamma 90.00
_space_group_name_H-M_alt 'P 4 m m'
_space_group_IT_number 99
loop_
_space_group_symop_operation_xyz
'x,y,z'
'-y,x,z'
'-x,-y,z'
'y,-x,z'
'-x,y,z'
'y,x,z'
'x,-y,z'
'-y,-x,z'
loop_
_atom_site_label
_atom_site_fract_x
_atom_site_fract_y
_atom_site_fract_z
Ba1 0.000 0.000 0.000
Ba2 0.500 0.500 0.431
Re1 0.000 0.000 0.681
Au1 0.500 0.500 0.768
```



Record 3
VASP calculation (GGA-PBE) on Ba2ReAu after structural relaxation.

Computed properties:
The value obtained for the calculated density is 9.1 g/cm³. The total energy comes out at -16.470 eV/f.u.

The structure in CIF format:
```
data_Ba2ReAu
_cell_length_a 4.693
_cell_length_b 4.693
_cell_length_c 10.934
_cell_angle_alpha 90.00
_cell_angle_beta 90.00
_cell_angle_gamma 90.00
_space_group_name_H-M_alt 'I -4 m 2'
_space_group_IT_number 119
_space_group_name_Hall 'I -4 -2'
loop_
_atom_site_label
_atom_site_fract_x
_atom_site_fract_y
_atom_site_fract_z
Ba1 0.000 0.000 0.000
Ba2 0.000 0.500 0.250
Re1 0.000 0.500 0.750
Au1 0.000 0.000 0.500
```



Record 4
VASP calculation (GGA-PBE) on Ba2ReAu after structural relaxation.

Computed properties:
The value obtained for the calculated density is 5.8 g/cm³. The total energy comes out at -15.104 eV/f.u.

The structure in CIF format:
```
data_Ba2ReAu
_cell_length_a 7.273
_cell_length_b 7.273
_cell_length_c 14.364
_cell_angle_alpha 90.00
_cell_angle_beta 90.00
_cell_angle_gamma 90.00
_space_group_name_H-M_alt 'I -4 2 d'
_space_group_IT_number 122
_space_group_name_Hall 'I -4 2bw'
loop_
_atom_site_label
_atom_site_fract_x
_atom_site_fract_y
_atom_site_fract_z
Ba1 0.217 0.250 0.125
Re1 0.000 0.000 0.000
Au1 0.000 0.000 0.500
```



Record 5
VASP calculation (GGA-PBE) on Ba2ReAu after structural relaxation.

Computed properties:
The value obtained for the calculated density is 8.6 g/cm³. The total energy comes out at -16.305 eV/f.u.

The structure in CIF format:
```
data_Ba2ReAu
_cell_length_a 3.9276
_cell_length_b 3.9276
_cell_length_c 28.4844
_cell_angle_alpha 90.00
_cell_angle_beta 90.00
_cell_angle_gamma 120.00
_space_group_name_H-M_alt 'R -3 m'
_space_group_IT_number 166
_space_group_name_Hall '-R 3 2"'
loop_
_atom_site_label
_atom_site_fract_x
_atom_site_fract_y
_atom_site_fract_z
Ba1 0.0000 0.0000 0.2468
Re1 0.0000 0.0000 0.5000
Au1 0.0000 0.0000 0.0000
```



Record 6
VASP calculation (GGA-PBE) on BaRe3Au after structural relaxation.

Computed properties:
The value obtained for the calculated density is 12.1 g/cm³. The total energy comes out at -22.798 eV/f.u.

The structure in CIF format:
```
data_BaRe3Au
_cell_length_a 4.966
_cell_length_b 4.966
_cell_length_c 4.966
_cell_angle_alpha 90.00
_cell_angle_beta 90.00
_cell_angle_gamma 90.00
_space_group_name_H-M_alt 'P m -3 m'
_space_group_IT_number 221
_space_group_name_Hall '-P 4 2 3'
loop_
_atom_site_label
_atom_site_fract_x
_atom_site_fract_y
_atom_site_fract_z
Ba1 0.000 0.000 0.000
Re1 0.000 0.000 0.500
Au1 0.500 0.500 0.500
```



Record 7
VASP calculation (GGA-PBE) on Ba2ReAu after structural relaxation.

Computed properties:
The value obtained for the calculated density is 9.9 g/cm³. The total energy comes out at -16.263 eV/f.u.

The structure in CIF format:
```
data_Ba2ReAu
_cell_length_a 7.619
_cell_length_b 7.619
_cell_length_c 7.619
_cell_angle_alpha 90.00
_cell_angle_beta 90.00
_cell_angle_gamma 90.00
_space_group_name_H-M_alt 'F -4 3 m'
_space_group_IT_number 216
_space_group_name_Hall 'F -4 2 3'
loop_
_atom_site_label
_atom_site_fract_x
_atom_site_fract_y
_atom_site_fract_z
Ba1 0.000 0.000 0.000
Ba2 0.250 0.250 0.250
Re1 0.250 0.250 0.750
Au1 0.000 0.000 0.500
```



Record 8
VASP calculation (GGA-PBE) on BaRe4Au after structural relaxation.

Computed properties:
The value obtained for the calculated density is 15.6 g/cm³. The total energy comes out at -49.321 eV/f.u.

The structure in CIF format:
```
data_BaRe4Au
_cell_length_a 7.724
_cell_length_b 7.724
_cell_length_c 7.724
_cell_angle_alpha 90.00
_cell_angle_beta 90.00
_cell_angle_gamma 90.00
_space_group_name_H-M_alt 'F -4 3 m'
_space_group_IT_number 216
_space_group_name_Hall 'F -4 2 3'
loop_
_atom_site_label
_atom_site_fract_x
_atom_site_fract_y
_atom_site_fract_z
Ba1 0.000 0.000 0.000
Re1 0.124 0.124 0.624
Au1 0.250 0.250 0.250
```



Record 9
VASP calculation (GGA-PBE) on Ba4ReAu after structural relaxation.

Computed properties:
The value obtained for the calculated density is 6.7 g/cm³. The total energy comes out at -16.055 eV/f.u.

The structure in CIF format:
```
data_Ba4ReAu
_cell_length_a 9.745
_cell_length_b 9.745
_cell_length_c 9.745
_cell_angle_alpha 90.00
_cell_angle_beta 90.00
_cell_angle_gamma 90.00
_space_group_name_H-M_alt 'F -4 3 m'
_space_group_IT_number 216
_space_group_name_Hall 'F -4 2 3'
loop_
_atom_site_label
_atom_site_fract_x
_atom_site_fract_y
_atom_site_fract_z
Ba1 0.125 0.125 0.125
Re1 0.250 0.250 0.750
Au1 0.000 0.000 0.500
```



Record 10
VASP calculation (GGA-PBE) on Ba2ReAu after structural relaxation.

Computed properties:
The value obtained for the calculated density is 8.8 g/cm³. The total energy comes out at -17.338 eV/f.u.

The structure in CIF format:
```
data_Ba2ReAu
_cell_length_a 3.932
_cell_length_b 5.365
_cell_length_c 11.788
_cell_angle_alpha 90.00
_cell_angle_beta 90.00
_cell_angle_gamma 90.00
_space_group_name_H-M_alt 'I m m 2'
_space_group_IT_number 44
loop_
_space_group_symop_operation_xyz
'x,y,z'
'-x,-y,z'
'-x,y,z'
'x,-y,z'
'x+1/2,y+1/2,z+1/2'
'-x+1/2,-y+1/2,z+1/2'
'-x+1/2,y+1/2,z+1/2'
'x+1/2,-y+1/2,z+1/2'
loop_
_atom_site_label
_atom_site_fract_x
_atom_site_fract_y
_atom_site_fract_z
Ba1 0.000 0.000 0.000
Ba2 0.000 0.500 0.206
Re1 0.000 0.000 0.432
Au1 0.000 0.500 0.782
```



Record 11
VASP calculation (GGA-PBE) on BaReAu3 after structural relaxation.

Computed properties:
The value obtained for the calculated density is 11.1 g/cm³. The total energy comes out at -23.052 eV/f.u.

The structure in CIF format:
```
data_BaReAu3
_cell_length_a 5.156
_cell_length_b 5.156
_cell_length_c 5.156
_cell_angle_alpha 90.00
_cell_angle_beta 90.00
_cell_angle_gamma 90.00
_space_group_name_H-M_alt 'P m -3 m'
_space_group_IT_number 221
_space_group_name_Hall '-P 4 2 3'
loop_
_atom_site_label
_atom_site_fract_x
_atom_site_fract_y
_atom_site_fract_z
Ba1 0.000 0.000 0.000
Re1 0.500 0.500 0.500
Au1 0.000 0.500 0.500
```



Record 12
VASP calculation (GGA-PBE) on Ba2ReAu after structural relaxation.

Computed properties:
The value obtained for the calculated density is 8.1 g/cm³. The total energy comes out at -17.929 eV/f.u.

The structure in CIF format:
```
data_Ba2ReAu
_cell_length_a 4.739
_cell_length_b 5.036
_cell_length_c 11.342
_cell_angle_alpha 90.00
_cell_angle_beta 90.00
_cell_angle_gamma 90.00
_space_group_name_H-M_alt 'A m m 2'
_space_group_IT_number 38
loop_
_space_group_symop_operation_xyz
'x,y,z'
'-x,-y,z'
'-x,y,z'
'x,-y,z'
'x,y+1/2,z+1/2'
'-x,-y+1/2,z+1/2'
'-x,y+1/2,z+1/2'
'x,-y+1/2,z+1/2'
loop_
_atom_site_label
_atom_site_fract_x
_atom_site_fract_y
_atom_site_fract_z
Ba1 0.000 0.000 0.000
Ba2 0.500 0.000 0.294
Re1 0.000 0.000 0.685
Au1 0.500 0.000 0.599
```



Record 13
VASP calculation (GGA-PBE) on Ba2ReAu after structural relaxation.

Computed properties:
The value obtained for the calculated density is 8.3 g/cm³. The total energy comes out at -16.520 eV/f.u.

The structure in CIF format:
```
data_Ba2ReAu
_cell_length_a 8.332
_cell_length_b 3.623
_cell_length_c 8.868
_cell_angle_alpha 90.00
_cell_angle_beta 99.28
_cell_angle_gamma 90.00
_space_group_name_H-M_alt 'C 1 2/m 1'
_space_group_IT_number 12
loop_
_space_group_symop_operation_xyz
'x,y,z'
'-x,-y,-z'
'-x,y,-z'
'x,-y,z'
'x+1/2,y+1/2,z'
'-x+1/2,-y+1/2,-z'
'-x+1/2,y+1/2,-z'
'x+1/2,-y+1/2,z'
loop_
_atom_site_label
_atom_site_fract_x
_atom_site_fract_y
_atom_site_fract_z
Ba1 0.249 0.000 0.239
Re1 0.000 0.500 0.000
Au1 0.000 0.000 0.500
```